Record 1
DFT (PBE-GGA) results for crystalline Hf2NbN at its relaxed geometry.

Values from the calculation:
* space group: R-3m
* magnetic moment: 0.0 μB per formula unit
* formation energy from raw total energies: -533 meV per atom

Unit cell a=3.1330 b=3.1330 c=8.3204 alpha=79.15 beta=79.15 gamma=60.00
Element x y z (fractional)
Nb (0.0000, 0.0000, 0.0000)
Hf (0.1134, 0.1134, 0.6598)
Hf (0.8866, 0.8866, 0.3402)
N (0.5000, 0.5000, 0.5000)

***

Record 2
DFT (PBE-GGA) results for crystalline Cs3Pm3ThSe8 at its relaxed geometry.

Values from the calculation:
* space group: R-3m
* magnetic moment: 0.0 μB per formula unit
* formation energy from raw total energies: -1756 meV per atom

Unit cell a=8.6682 b=8.6698 c=9.9087 alpha=115.96 beta=90.00 gamma=119.99
Element x y z (fractional)
Cs (0.0000, 0.0000, 0.0000)
Cs (0.0000, 0.5000, 0.0000)
Cs (0.5000, 0.5000, 0.0000)
Pm (0.5000, 0.0000, 0.5000)
Pm (0.5000, 0.5000, 0.5000)
Pm (0.0000, 0.5000, 0.5000)
Th (0.0000, 0.0000, 0.5000)
Se (0.2708, 0.5415, 0.3124)
Se (0.7292, 0.4585, 0.6876)
Se (0.7735, 0.5469, 0.3146)
Se (0.2265, 0.4531, 0.6854)
Se (0.7735, 0.0409, 0.3146)
Se (0.2265, 0.9591, 0.6854)
Se (0.2674, 0.0409, 0.3146)
Se (0.7326, 0.9591, 0.6854)

***

Record 3
DFT (PBE-GGA) results for crystalline RbPaInCl6 at its relaxed geometry.

Values from the calculation:
* space group: P-31c
* magnetic moment: 1.0 μB per formula unit
* formation energy from raw total energies: -1713 meV per atom

Unit cell a=7.9774 b=7.9774 c=12.3156 alpha=90.00 beta=90.00 gamma=120.00
Element x y z (fractional)
Rb (0.3333, 0.6667, 0.2500)
Rb (0.6667, 0.3333, 0.7500)
Pa (0.6667, 0.3333, 0.2500)
Pa (0.3333, 0.6667, 0.7500)
In (0.0000, 0.0000, 0.0000)
In (0.0000, 0.0000, 0.5000)
Cl (0.6743, 0.6118, 0.1273)
Cl (0.9375, 0.3257, 0.1273)
Cl (0.3257, 0.9376, 0.6273)
Cl (0.0625, 0.6743, 0.8727)
Cl (0.3882, 0.3257, 0.3727)
Cl (0.9375, 0.6118, 0.3727)
Cl (0.6118, 0.9376, 0.8727)
Cl (0.6743, 0.0624, 0.3727)
Cl (0.0625, 0.3882, 0.6273)
Cl (0.3882, 0.0624, 0.1273)
Cl (0.6118, 0.6743, 0.6273)
Cl (0.3257, 0.3882, 0.8727)

***

Record 4
DFT (PBE-GGA) results for crystalline Ru2Pb3 at its relaxed geometry.

Values from the calculation:
* energy: -5.47 eV/atom
* space group: Fdd2
* magnetic moment: 0.0 μB per formula unit

Unit cell a=9.4802 b=8.4280 c=5.8139 alpha=81.22 beta=61.47 gamma=37.31
Element x y z (fractional)
Ru (0.5296, 0.2770, 0.0320)
Ru (0.1614, 0.0320, 0.2770)
Ru (0.2180, 0.0886, 0.7204)
Ru (0.9730, 0.7204, 0.0886)
Pb (0.7015, 0.6740, 0.1305)
Pb (0.4940, 0.1305, 0.6740)
Pb (0.1195, 0.7560, 0.5485)
Pb (0.5760, 0.5485, 0.7560)
Pb (0.1135, 0.3865, 0.3865)
Pb (0.8635, 0.1365, 0.1365)

***

| no. | density of states at the Fermi level (states/eV per atom) |
| --- | --- |
| 1 | 0.740 |
| 2 | 0.000 |
| 3 | 0.041 |
| 4 | 0.706 |